Density functional theory data (PBEsol) for a relaxed structure of NbReIr2N.

## Properties
symmetry = P4/mmm (123)
formation energy without anion corrections = 2700 meV/atom
ρ = 10.69 g/cm³
crystal system = tetragonal

abc: 4.659 4.659 4.848
angles: 90.00 90.00 90.00
Site moments in Bohr magnetons follow the coordinates.
Fractional coordinates of all 5 atoms:
Nb  0.000  0.000  0.500  -0.33
Ir  0.500  0.000  0.000  0.19
Ir  0.000  0.500  0.000  0.19
N  0.500  0.500  0.500  1.39
Re  0.000  0.000  0.000  0.10